VASP calculation (PBE) on a relaxed KZn2Ir crystal.

Structure (extended XYZ):
```
4
Lattice="-2.0780 2.0780 4.3444 2.0780 -2.0780 4.3444 2.0780 2.0780 -4.3444" Properties=species:S:1:pos:R:3 pbc="T T T"
K 0.0000 0.0000 0.0000
Zn 2.0780 0.0000 2.1722
Zn 0.0000 0.0000 4.3444
Ir 0.0000 2.0780 2.1722
```

Output
Energy relative to the elements ... 0.630 eV per atom
Size of the total moment ... 0.00 μB/atom
Energy ... -10.0 eV per cell


VASP calculation (PBE) on a relaxed KZrIr4 crystal.

Structure (extended XYZ):
```
6
Lattice="0.0000 3.7682 3.7682 3.7682 0.0000 3.7682 3.7682 3.7682 0.0000" Properties=species:S:1:pos:R:3 pbc="T T T"
K 0.0000 0.0000 0.0000
Zr 5.6523 5.6523 5.6523
Ir 2.8273 2.8273 2.8273
Ir 4.7090 4.7090 2.8273
Ir 4.7090 2.8273 4.7090
Ir 2.8273 4.7090 4.7090
```

Output
Energy relative to the elements ... -0.020 eV per atom
Size of the total moment ... 0.00 μB/atom
Energy ... -45.2 eV per cell


VASP calculation (PBE) on a relaxed KZrIr2 crystal.

Structure (extended XYZ):
```
4
Lattice="0.0000 3.3679 3.3679 3.3679 0.0000 3.3679 3.3679 3.3679 0.0000" Properties=species:S:1:pos:R:3 pbc="T T T"
K 0.0000 0.0000 0.0000
Zr 3.3679 3.3679 3.3679
Ir 1.6840 1.6840 1.6840
Ir 5.0519 5.0519 5.0519
```

Output
Energy relative to the elements ... 0.373 eV per atom
Size of the total moment ... 0.00 μB/atom
Energy ... -25.9 eV per cell


VASP calculation (PBE) on a relaxed KZrIr2 crystal.

Structure (extended XYZ):
```
4
Lattice="3.1361 0.0000 0.0000 0.0000 4.4620 0.0000 -0.1802 0.0000 6.9322" Properties=species:S:1:pos:R:3 pbc="T T T"
K 0.0000 0.0000 0.0000
Zr 2.9499 2.2310 3.0042
Ir 1.3859 0.0000 3.3876
Ir 1.3857 2.2310 5.0790
```

Output
Energy relative to the elements ... 0.281 eV per atom
Size of the total moment ... 0.00 μB/atom
Energy ... -26.2 eV per cell


VASP calculation (PBE) on a relaxed KZrIr2 crystal.

Structure (extended XYZ):
```
4
Lattice="4.2923 -1.5306 0.0000 4.2923 1.5306 0.0000 -0.9897 0.0000 7.5936" Properties=species:S:1:pos:R:3 pbc="T T T"
K 0.0000 0.0000 0.0000
Zr 3.7975 0.0000 3.7968
Ir 1.3346 0.0000 4.9523
Ir 6.2604 0.0000 2.6413
```

Output
Energy relative to the elements ... 0.200 eV per atom
Size of the total moment ... 0.00 μB/atom
Energy ... -26.6 eV per cell


VASP calculation (PBE) on a relaxed KZrIr2 crystal.

Structure (extended XYZ):
```
4
Lattice="2.8636 0.0000 0.0000 0.0000 2.8636 0.0000 0.0000 0.0000 10.2432" Properties=species:S:1:pos:R:3 pbc="T T T"
K 0.0000 0.0000 0.0000
Zr 1.4318 1.4318 3.6493
Ir 0.0000 0.0000 5.8325
Ir 1.4318 1.4318 7.5712
```

Output
Energy relative to the elements ... 0.392 eV per atom
Size of the total moment ... 0.00 μB/atom
Energy ... -25.8 eV per cell


VASP calculation (PBE) on a relaxed KZrIr2 crystal.

Structure (extended XYZ):
```
4
Lattice="4.8240 0.0000 0.0000 0.0000 4.8240 0.0000 0.0000 0.0000 3.3030" Properties=species:S:1:pos:R:3 pbc="T T T"
K 0.0000 0.0000 0.0000
Zr 2.4120 2.4120 0.0000
Ir 0.0000 2.4120 1.6515
Ir 2.4120 0.0000 1.6515
```

Output
Energy relative to the elements ... 0.467 eV per atom
Size of the total moment ... 0.00 μB/atom
Energy ... -25.5 eV per cell


VASP calculation (PBE) on a relaxed KZrIr crystal.

Structure (extended XYZ):
```
3
Lattice="0.0000 3.2613 3.2613 3.2613 0.0000 3.2613 3.2613 3.2613 0.0000" Properties=species:S:1:pos:R:3 pbc="T T T"
K 0.0000 0.0000 0.0000
Zr 1.6307 1.6307 1.6307
Ir 4.8920 4.8920 4.8920
```

Output
Energy relative to the elements ... 1.733 eV per atom
Size of the total moment ... 0.00 μB/atom
Energy ... -13.3 eV per cell


VASP calculation (PBE) on a relaxed KZrIr3 crystal.

Structure (extended XYZ):
```
5
Lattice="5.0074 0.0000 0.0000 0.0000 5.0074 0.0000 0.0000 0.0000 5.0074" Properties=species:S:1:pos:R:3 pbc="T T T"
K 0.0000 0.0000 0.0000
Zr 2.5037 2.5037 2.5037
Ir 0.0000 2.5037 2.5037
Ir 2.5037 0.0000 2.5037
Ir 2.5037 2.5037 0.0000
```

Output
Energy relative to the elements ... 1.237 eV per atom
Size of the total moment ... 0.23 μB/atom
Energy ... -30.0 eV per cell


VASP calculation (PBE) on a relaxed KZrIr2 crystal.

Structure (extended XYZ):
```
4
Lattice="5.0619 -1.5268 0.0000 5.0619 1.5268 0.0000 -1.3345 0.0000 6.9130" Properties=species:S:1:pos:R:3 pbc="T T T"
K 0.0000 0.0000 0.0000
Zr 7.8132 0.0000 3.2889
Ir 1.2070 0.0000 4.7489
Ir 4.8746 0.0000 3.1183
```

Output
Energy relative to the elements ... 0.239 eV per atom
Size of the total moment ... 0.00 μB/atom
Energy ... -26.4 eV per cell


VASP calculation (PBE) on a relaxed K3ZrIr crystal.

Structure (extended XYZ):
```
5
Lattice="6.1211 0.0000 0.0000 0.0000 6.1211 0.0000 0.0000 0.0000 6.1211" Properties=species:S:1:pos:R:3 pbc="T T T"
K 0.0000 0.0000 3.0605
K 0.0000 3.0605 0.0000
K 3.0605 0.0000 0.0000
Zr 3.0605 3.0605 3.0605
Ir 0.0000 0.0000 0.0000
```

Output
Energy relative to the elements ... 1.523 eV per atom
Size of the total moment ... 0.66 μB/atom
Energy ... -13.1 eV per cell


VASP calculation (PBE) on a relaxed KZrIr2 crystal.

Structure (extended XYZ):
```
8
Lattice="-3.8247 3.8247 2.9258 3.8247 -3.8247 2.9258 3.8247 3.8247 -2.9258" Properties=species:S:1:pos:R:3 pbc="T T T"
K 0.0000 0.0000 0.0000
K 0.0000 3.8247 1.4629
Zr 3.8247 0.0000 1.4629
Zr 0.0000 0.0000 2.9258
Ir 1.9123 -1.6254 2.1944
Ir 2.1992 1.9123 0.7315
Ir 1.9123 5.4501 -0.7315
Ir 1.6254 1.9123 3.6573
```

Output
Energy relative to the elements ... 0.524 eV per atom
Size of the total moment ... 0.00 μB/atom
Energy ... -50.5 eV per cell


VASP calculation (PBE) on a relaxed KZrIr2 crystal.

Structure (extended XYZ):
```
4
Lattice="-2.1078 2.1078 4.2585 2.1078 -2.1078 4.2585 2.1078 2.1078 -4.2585" Properties=species:S:1:pos:R:3 pbc="T T T"
K 0.0000 0.0000 0.0000
Zr 2.1078 0.0000 2.1293
Ir 0.0000 0.0000 4.2585
Ir 0.0000 2.1078 2.1293
```

Output
Energy relative to the elements ... 0.644 eV per atom
Size of the total moment ... 0.00 μB/atom
Energy ... -24.8 eV per cell


VASP calculation (PBE) on a relaxed KZrIr crystal.

Structure (extended XYZ):
```
3
Lattice="-1.6853 1.6853 7.3690 1.6853 -1.6853 7.3690 1.6853 1.6853 -7.3690" Properties=species:S:1:pos:R:3 pbc="T T T"
K 0.0000 0.0000 0.0000
Zr 0.0000 0.0000 3.7768
Ir 0.0000 0.0000 9.9277
```

Output
Energy relative to the elements ... 0.047 eV per atom
Size of the total moment ... 0.00 μB/atom
Energy ... -18.4 eV per cell


VASP calculation (PBE) on a relaxed KZrIr crystal.

Structure (extended XYZ):
```
3
Lattice="4.8430 0.0000 0.0000 -2.4215 4.1942 0.0000 0.0000 0.0000 3.0720" Properties=species:S:1:pos:R:3 pbc="T T T"
K 0.0000 0.0000 0.0000
Zr 2.4215 1.3981 1.0764
Ir 0.0000 2.7961 1.9276
```

Output
Energy relative to the elements ... 0.663 eV per atom
Size of the total moment ... 0.00 μB/atom
Energy ... -16.5 eV per cell


VASP calculation (PBE) on a relaxed KZrIr2 crystal.

Structure (extended XYZ):
```
4
Lattice="-1.4122 2.5984 5.5859 1.4122 -2.5984 5.5859 1.4122 2.5984 -5.5859" Properties=species:S:1:pos:R:3 pbc="T T T"
K 0.0000 0.0000 0.0000
Zr 1.4122 0.0000 3.3865
Ir 0.0000 0.0000 5.8751
Ir 0.0000 2.5984 2.4562
```

Output
Energy relative to the elements ... 0.302 eV per atom
Size of the total moment ... 0.00 μB/atom
Energy ... -26.2 eV per cell


VASP calculation (PBE) on a relaxed KZrIr2 crystal.

Structure (extended XYZ):
```
4
Lattice="3.1698 0.0000 0.0000 0.0000 3.1680 0.0000 -0.0102 0.0000 8.4108" Properties=species:S:1:pos:R:3 pbc="T T T"
K 0.0000 0.0000 0.0000
Zr -0.0051 0.0000 4.2054
Ir 1.5807 1.5840 2.5745
Ir 1.5789 1.5840 5.8364
```

Output
Energy relative to the elements ... -0.077 eV per atom
Size of the total moment ... 0.00 μB/atom
Energy ... -27.7 eV per cell


VASP calculation (PBE) on a relaxed KZrIr crystal.

Structure (extended XYZ):
```
3
Lattice="0.0000 3.3428 3.3428 3.3428 0.0000 3.3428 3.3428 3.3428 0.0000" Properties=species:S:1:pos:R:3 pbc="T T T"
K 0.0000 0.0000 0.0000
Zr 3.3428 3.3428 3.3428
Ir 5.0141 5.0141 5.0141
```

Output
Energy relative to the elements ... 0.576 eV per atom
Size of the total moment ... 0.00 μB/atom
Energy ... -16.8 eV per cell


VASP calculation (PBE) on a relaxed KZrIr2 crystal.

Structure (extended XYZ):
```
4
Lattice="0.0000 3.3319 3.3319 3.3319 0.0000 3.3319 3.3319 3.3319 0.0000" Properties=species:S:1:pos:R:3 pbc="T T T"
K 0.0000 0.0000 0.0000
Zr 1.6659 1.6659 1.6659
Ir 3.3319 3.3319 3.3319
Ir 4.9978 4.9978 4.9978
```

Output
Energy relative to the elements ... 0.620 eV per atom
Size of the total moment ... 0.00 μB/atom
Energy ... -24.9 eV per cell


VASP calculation (PBE) on a relaxed KZrIr2 crystal.

Structure (extended XYZ):
```
4
Lattice="2.8608 0.0000 0.0000 0.0000 4.0342 0.0000 0.0000 0.0000 8.5908" Properties=species:S:1:pos:R:3 pbc="T T T"
K 0.0000 0.0000 0.0000
Zr 1.4304 2.0171 3.4503
Ir 0.0000 0.0000 5.1700
Ir 1.4304 2.0171 6.0049
```

Output
Energy relative to the elements ... 0.255 eV per atom
Size of the total moment ... 0.00 μB/atom
Energy ... -26.3 eV per cell